The following is a GGA-PBE calculation of a relaxed Pr6Sm5In crystal, from Alexandria.

The structure in POSCAR format:
```
Pr6Sm5In
1.0
-2.547 5.119 7.776
2.547 -5.119 7.776
2.547 5.119 -7.776
Pr Sm In
6 5 1
direct
0.080 0.336 0.744
0.243 0.000 0.243
0.407 0.664 0.744
0.593 0.336 0.256
0.757 0.000 0.757
0.920 0.664 0.256
0.167 0.167 0.000
0.336 0.836 0.500
0.500 0.500 0.000
0.664 0.164 0.500
0.833 0.833 0.000
0.000 0.500 0.500
```

## Properties
ΔH_f (0 K): -0.06 eV/atom
DOS at the Fermi energy: 1.241 states/eV/atom
Symmetry: No. 71
V: 33.79 Å³ per atom

***

The following is a GGA-PBE calculation of a relaxed Pr2Sm5In4 crystal, from Alexandria.

The structure in POSCAR format:
```
Pr2Sm5In4
1.0
8.776 0.000 0.000
0.000 3.510 0.000
-1.131 0.000 10.696
Pr Sm In
2 5 4
direct
0.084 0.000 0.139
0.916 0.000 0.861
0.161 0.000 0.643
0.459 0.000 0.167
0.500 0.000 0.500
0.541 0.000 0.833
0.839 0.000 0.357
0.200 0.500 0.386
0.253 0.500 0.920
0.747 0.500 0.080
0.800 0.500 0.614
```

## Properties
ΔH_f (0 K): -0.27 eV/atom
DOS at the Fermi energy: 1.110 states/eV/atom
Symmetry: No. 10
V: 29.96 Å³ per atom

***

The following is a GGA-PBE calculation of a relaxed Pr4SmIn2 crystal, from Alexandria.

The structure in POSCAR format:
```
Pr4SmIn2
1.0
6.422 0.000 0.000
-0.009 6.584 0.000
-1.933 -0.013 10.802
Pr Sm In
8 2 4
direct
0.020 0.296 0.126
0.107 0.198 0.811
0.393 0.695 0.687
0.477 0.798 0.374
0.523 0.202 0.626
0.607 0.305 0.313
0.893 0.802 0.189
0.980 0.704 0.874
0.000 0.000 0.500
0.500 0.500 0.000
0.139 0.455 0.412
0.362 0.959 0.089
0.638 0.041 0.911
0.861 0.545 0.588
```

## Properties
ΔH_f (0 K): -0.19 eV/atom
DOS at the Fermi energy: 1.183 states/eV/atom
Symmetry: No. 2
Relative energy among the computed polymorphs: 0.0 meV per atom
V: 32.63 Å³ per atom

***

The following is a GGA-PBE calculation of a relaxed PrSmIn crystal, from Alexandria.

The structure in POSCAR format:
```
PrSmIn
1.0
-1.782 1.782 15.199
1.782 -1.782 15.199
1.782 1.782 -15.199
Pr Sm In
2 2 2
direct
0.060 0.060 0.000
0.940 0.940 0.000
0.204 0.204 0.000
0.796 0.796 0.000
0.369 0.369 0.000
0.631 0.631 0.000
```

## Properties
ΔH_f (0 K): -0.22 eV/atom
DOS at the Fermi energy: 0.938 states/eV/atom
Symmetry: No. 139
Relative energy among the computed polymorphs: 114.8 meV per atom
V: 32.16 Å³ per atom